A plane-wave DFT calculation with GGA-PBE was carried out for a geometry-optimized YEr2Sc structure.

## Properties
Calculated density = 6.60 g/cm³
Electronic total energy = -5.45 eV per atom
Relative energy among the computed polymorphs = 0.0123 eV/atom
Energy of formation = 0.03 eV per atom

Geometry as extended XYZ:
```
8
Lattice="-1.698 2.884 0.997 -4.140 -0.948 -4.304 -1.767 -6.696 10.249" Properties=species:S:1:pos:R:3 pbc="T T T"
Y -5.641 -3.101 2.515
Y -2.722 -4.069 4.168
Er -5.692 -5.972 4.618
Er -5.600 -0.246 0.438
Er -2.681 -1.214 2.091
Er -4.471 -4.056 7.269
Sc -5.541 0.872 -2.696
Sc -2.622 -0.096 -1.042
```

***

A plane-wave DFT calculation with GGA-PBE was carried out for a geometry-optimized Pm3Sm3Dy8 structure.

## Properties
Calculated density = 7.82 g/cm³
Electronic total energy = -4.55 eV per atom
Energy of formation = 0.11 eV per atom

Geometry as extended XYZ:
```
14
Lattice="5.567 -0.005 1.111 2.756 9.293 0.753 1.075 -3.207 9.115" Properties=species:S:1:pos:R:3 pbc="T T T"
Pm 2.784 -0.003 0.555
Pm 2.446 6.985 2.297
Pm 1.386 -0.899 7.571
Sm 4.699 3.041 5.490
Sm 5.222 1.215 2.866
Sm 4.177 4.866 8.113
Dy 4.607 -0.698 5.930
Dy 4.791 6.779 5.049
Dy 5.349 4.823 2.238
Dy 4.049 1.258 8.742
Dy 7.379 5.296 6.580
Dy 2.020 0.785 4.400
Dy 7.033 2.721 8.302
Dy 2.366 3.360 2.677
```

***

A plane-wave DFT calculation with GGA-PBE was carried out for a geometry-optimized BaGa2I8 structure.

## Properties
Calculated density = 3.42 g/cm³
Electronic total energy = -2.69 eV per atom
Formation energy (no corrections) = -0.841 eV per atom

Geometry as extended XYZ:
```
11
Lattice="7.412 0.567 0.430 0.804 9.388 -0.150 0.804 2.383 9.081" Properties=species:S:1:pos:R:3 pbc="T T T"
Ba 0.000 0.000 0.000
Ga 6.273 9.714 7.371
Ga 2.747 2.624 1.991
I 2.827 5.191 8.563
I 6.194 2.693 6.668
I 3.676 9.493 7.203
I 5.344 2.845 2.158
I 2.827 9.645 2.693
I 6.194 7.147 0.798
I 7.319 7.867 5.969
I 1.701 4.471 3.393
```